Here is a relaxed structure of KSn2GeCl8 from Alexandria via LeMat-Bulk. Energies are from PBE.

Unit cell a=6.722 b=6.512 c=8.647 alpha=88.47 beta=87.20 gamma=87.14
Sites, in units of the cell vectors:
Cl 0.653 0.706 0.475
Cl 0.287 0.250 0.974
Cl 0.171 0.777 0.791
Cl 0.347 0.294 0.525
Cl 0.829 0.223 0.209
Cl 0.185 0.791 0.202
Cl 0.815 0.209 0.798
Cl 0.713 0.750 0.026
K 0.000 0.000 0.500
Sn 0.480 0.479 0.757
Sn 0.520 0.521 0.243
Ge 0.000 0.000 0.000

Formation energy (no corrections) ... -1.05 eV/atom
Space group ... P-1 (2)
VASP energy ... -3.421 eV/atom
Fermi-level density of states ... 3.130 states/eV/f.u.